# K4TmRu3O12 (GGA-PBE, optimized geometry)
# Spin magnetization   1.71 μB/cell
# D(E_F)   0.38 states/eV/atom
# Uncorrected formation energy   -1.43 eV per atom
data_K4TmRu3O12
_symmetry_space_group_name_H-M 'I m -3 m'
_symmetry_Int_Tables_number 229
_symmetry_space_group_name_Hall '-I 4 2 3'
_cell_length_a 8.0510
_cell_length_b 8.0510
_cell_length_c 8.0510
_cell_angle_alpha 90.00
_cell_angle_beta 90.00
_cell_angle_gamma 90.00
loop_
_atom_site_label
_atom_site_fract_x
_atom_site_fract_y
_atom_site_fract_z
_atom_site_occupancy
K1 0.2500 0.2500 0.2500 1
Tm1 0.0000 0.0000 0.0000 1
Ru1 0.0000 0.0000 0.5000 1
O1 0.0000 0.0000 0.2671 1
O2 0.0000 0.2500 0.5000 1

# Sc3Tl3CuSe8 (GGA-PBE, optimized geometry)
# Spin magnetization   0.00 μB/cell
# D(E_F)   0.52 states/eV/atom
# Uncorrected formation energy   -0.93 eV per atom
data_Sc3Tl3CuSe8
_symmetry_space_group_name_H-M 'C 1 2/m 1'
_symmetry_Int_Tables_number 12
_cell_length_a 13.5095
_cell_length_b 7.8015
_cell_length_c 8.9502
_cell_angle_alpha 90.00
_cell_angle_beta 120.22
_cell_angle_gamma 90.00
loop_
_symmetry_equiv_pos_as_xyz
'x,y,z'
'-x,-y,-z'
'-x,y,-z'
'x,-y,z'
'x+1/2,y+1/2,z'
'-x+1/2,-y+1/2,-z'
'-x+1/2,y+1/2,-z'
'x+1/2,-y+1/2,z'
loop_
_atom_site_label
_atom_site_fract_x
_atom_site_fract_y
_atom_site_fract_z
_atom_site_occupancy
Sc1 0.0000 0.0000 0.0000 1
Sc2 0.2500 0.2500 0.0000 1
Tl1 0.0000 0.5000 0.5000 1
Tl2 0.2500 0.2500 0.5000 1
Cu1 0.0000 0.5000 0.0000 1
Se1 0.0184 0.2575 0.8124 1
Se2 0.2230 0.5000 0.1868 1
Se3 0.2325 0.0000 0.1978 1

# NpTlCuTe3 (GGA-PBE, optimized geometry)
# Spin magnetization   6.21 μB/cell
# D(E_F)   1.64 states/eV/atom
# Uncorrected formation energy   -0.43 eV per atom
data_NpTlCuTe3
_symmetry_space_group_name_H-M 'P 1 21/m 1'
_symmetry_Int_Tables_number 11
_cell_length_a 9.7427
_cell_length_b 4.2723
_cell_length_c 10.0248
_cell_angle_alpha 90.00
_cell_angle_beta 108.84
_cell_angle_gamma 90.00
loop_
_symmetry_equiv_pos_as_xyz
'x,y,z'
'-x,-y,-z'
'-x,y+1/2,-z'
'x,-y+1/2,z'
loop_
_atom_site_label
_atom_site_fract_x
_atom_site_fract_y
_atom_site_fract_z
_atom_site_occupancy
Np1 0.1808 0.2500 0.1609 1
Tl1 0.3023 0.7500 0.7694 1
Cu1 0.4212 0.7500 0.4139 1
Te1 0.0451 0.2500 0.8360 1
Te2 0.2912 0.2500 0.4776 1
Te3 0.3945 0.7500 0.1389 1

# ZnPb2NF (GGA-PBE, optimized geometry)
# Spin magnetization   0.00 μB/cell
# D(E_F)   0.75 states/eV/atom
# Uncorrected formation energy   0.15 eV per atom
data_ZnPb2NF
_symmetry_space_group_name_H-M 'P 4/m m m'
_symmetry_Int_Tables_number 123
_symmetry_space_group_name_Hall '-P 4 2'
_cell_length_a 5.5705
_cell_length_b 5.5705
_cell_length_c 3.5830
_cell_angle_alpha 90.00
_cell_angle_beta 90.00
_cell_angle_gamma 90.00
loop_
_atom_site_label
_atom_site_fract_x
_atom_site_fract_y
_atom_site_fract_z
_atom_site_occupancy
Zn1 0.0000 0.0000 0.0000 1
Pb1 0.0000 0.5000 0.0000 1
N1 0.0000 0.0000 0.5000 1
F1 0.5000 0.5000 0.5000 1

# Ag3Te3Au (GGA-PBE, optimized geometry)
# Spin magnetization   0.00 μB/cell
# D(E_F)   0.56 states/eV/atom
# Uncorrected formation energy   0.02 eV per atom
data_Ag3Te3Au
_symmetry_space_group_name_H-M 'C m c e'
_symmetry_Int_Tables_number 64
_symmetry_space_group_name_Hall '-C 2ac 2'
_cell_length_a 21.2346
_cell_length_b 5.8402
_cell_length_c 11.6653
_cell_angle_alpha 90.00
_cell_angle_beta 90.00
_cell_angle_gamma 90.00
loop_
_atom_site_label
_atom_site_fract_x
_atom_site_fract_y
_atom_site_fract_z
_atom_site_occupancy
Ag1 0.0000 0.2148 0.1244 1
Ag2 0.1953 0.2420 0.3898 1
Te1 0.0000 0.2319 0.3689 1
Te2 0.1708 0.2271 0.1410 1
Au1 0.0932 0.0000 0.5000 1

# Pa2FeTcN5 (GGA-PBE, optimized geometry)
# Spin magnetization   0.00 μB/cell
# D(E_F)   0.28 states/eV/atom
# Uncorrected formation energy   -0.90 eV per atom
data_Pa2FeTcN5
_symmetry_space_group_name_H-M 'C m c 21'
_symmetry_Int_Tables_number 36
_cell_length_a 3.4024
_cell_length_b 13.4483
_cell_length_c 9.0684
_cell_angle_alpha 90.00
_cell_angle_beta 90.00
_cell_angle_gamma 90.00
loop_
_symmetry_equiv_pos_as_xyz
'x,y,z'
'-x,-y,z+1/2'
'-x,y,z'
'x,-y,z+1/2'
'x+1/2,y+1/2,z'
'-x+1/2,-y+1/2,z+1/2'
'-x+1/2,y+1/2,z'
'x+1/2,-y+1/2,z+1/2'
loop_
_atom_site_label
_atom_site_fract_x
_atom_site_fract_y
_atom_site_fract_z
_atom_site_occupancy
Pa1 0.0000 0.1196 0.0000 1
Pa2 0.0000 0.1292 0.3900 1
Fe1 0.0000 0.4327 0.1550 1
Tc1 0.0000 0.2046 0.7025 1
N1 0.0000 0.0362 0.7155 1
N2 0.0000 0.3026 0.3538 1
N3 0.0000 0.3061 0.0602 1
N4 0.0000 0.3566 0.6968 1
N5 0.0000 0.4953 0.9654 1

# LaTm3Th3 (GGA-PBE, optimized geometry)
# Spin magnetization   0.00 μB/cell
# D(E_F)   1.36 states/eV/atom
# ΔE_f   1.46 eV per formula unit
data_LaTm3Th3
_symmetry_space_group_name_H-M 'C 1 m 1'
_symmetry_Int_Tables_number 8
_cell_length_a 15.2346
_cell_length_b 15.0678
_cell_length_c 8.2700
_cell_angle_alpha 90.00
_cell_angle_beta 90.10
_cell_angle_gamma 90.00
loop_
_symmetry_equiv_pos_as_xyz
'x,y,z'
'x,-y,z'
'x+1/2,y+1/2,z'
'x+1/2,-y+1/2,z'
loop_
_atom_site_label
_atom_site_fract_x
_atom_site_fract_y
_atom_site_fract_z
_atom_site_occupancy
La1 0.0000 0.0000 0.0000 1
La2 0.1464 0.0000 0.6629 1
La3 0.3229 0.1237 0.7924 1
Tm1 0.0124 0.3820 0.4146 1
Tm2 0.0557 0.1152 0.3502 1
Tm3 0.1864 0.2672 0.5592 1
Tm4 0.1945 0.5000 0.5594 1
Tm5 0.2907 0.3843 0.8775 1
Tm6 0.4330 0.0000 0.0994 1
Tm7 0.4366 0.2360 0.0879 1
Th1 0.0580 0.3886 0.8233 1
Th2 0.1537 0.5000 0.1463 1
Th3 0.1651 0.2598 0.1152 1
Th4 0.2850 0.1133 0.3327 1
Th5 0.3315 0.3847 0.3060 1
Th6 0.4216 0.5000 0.6146 1
Th7 0.4567 0.2871 0.6594 1

# YNi3Rh (GGA-PBE, optimized geometry)
# Spin magnetization   2.56 μB/cell
# ΔE to the lowest computed polymorph   0.0000 eV/atom
# D(E_F)   0.89 states/eV/atom
# ΔE_f   2.18 eV per formula unit
data_YNi3Rh
_symmetry_space_group_name_H-M 'P m -3 m'
_symmetry_Int_Tables_number 221
_symmetry_space_group_name_Hall '-P 4 2 3'
_cell_length_a 4.5441
_cell_length_b 4.5441
_cell_length_c 4.5441
_cell_angle_alpha 90.00
_cell_angle_beta 90.00
_cell_angle_gamma 90.00
loop_
_atom_site_label
_atom_site_fract_x
_atom_site_fract_y
_atom_site_fract_z
_atom_site_occupancy
Y1 0.0000 0.0000 0.0000 1
Ni1 0.0000 0.5000 0.5000 1
Rh1 0.5000 0.5000 0.5000 1